Entry 1:
Entry from OQMD: an optimized crystal structure of UZnTc2 (PBE).

a = 4.2708 Å, b = 4.2708 Å, c = 3.5525 Å
α = 90.00°, β = 90.00°, γ = 90.00°
Space group P4/mmm (No. 123)
Symmetry-distinct sites (fractional):
U: 0.0000 0.0000 0.0000 (multiplicity 1)
Zn: 0.5000 0.5000 0.0000 (multiplicity 1)
Tc: 0.0000 0.5000 0.5000 (multiplicity 2)

- VASP energy (eV for the cell shown) = -33.956
- E_form (eV/atom) = -0.168

---

Entry 2:
Entry from OQMD: an optimized crystal structure of ZrUTc (PBE).

a = 6.3430 Å, b = 6.3430 Å, c = 6.3430 Å
α = 90.00°, β = 90.00°, γ = 90.00°
Space group F-43m (No. 216)
Symmetry-distinct sites (fractional):
Zr: 0.0000 0.0000 0.0000 (multiplicity 4)
U: 0.2500 0.2500 0.7500 (multiplicity 4)
Tc: 0.0000 0.0000 0.5000 (multiplicity 4)

- VASP energy (eV for the cell shown) = -111.864
- E_form (eV/atom) = 0.746

---

Entry 3:
Entry from OQMD: an optimized crystal structure of TcW2 (PBE).

a = 10.9570 Å, b = 10.9570 Å, c = 10.9570 Å
α = 90.00°, β = 90.00°, γ = 90.00°
Space group Fd-3m (No. 227, origin choice 2)
Symmetry-distinct sites (fractional):
Tc: 0.1250 0.1250 0.1250 (multiplicity 8)
W: 0.0000 0.0000 0.0000 (multiplicity 16)

- VASP energy (eV for the cell shown) = -193.338
- E_form (eV/atom) = 4.038
- energy above the most stable polymorph in this dataset (eV/atom) = 3.589

---

Please write out number 1 again, unchanged.
Entry from OQMD: an optimized crystal structure of UZnTc2 (PBE).

a = 4.2708 Å, b = 4.2708 Å, c = 3.5525 Å
α = 90.00°, β = 90.00°, γ = 90.00°
Space group P4/mmm (No. 123)
Symmetry-distinct sites (fractional):
U: 0.0000 0.0000 0.0000 (multiplicity 1)
Zn: 0.5000 0.5000 0.0000 (multiplicity 1)
Tc: 0.0000 0.5000 0.5000 (multiplicity 2)

- VASP energy (eV for the cell shown) = -33.956
- E_form (eV/atom) = -0.168